(1)
A relaxed Ba2GaRuAu crystal. Source: Alexandria, functional GGA-PBE.

SG   No. 123
E_tot   -4.024 eV/atom
Density   6487 kg/m3
Energy relative to the elements   -0.1386 eV/atom

abc: 5.852 5.852 4.801
angles: 90.00 90.00 90.00
Element x y z (fractional)
Ba1 0.000 0.500 0.000
Ba2 0.500 0.000 0.000
Ga1 0.000 0.000 0.500
Ru1 0.000 0.000 0.000
Au1 0.500 0.500 0.500

(2)
A relaxed Pm5ErTmSc2 crystal. Source: Alexandria, functional GGA-PBE.

SG   No. 36
E_tot   -4.879 eV/atom
Density   6589 kg/m3
Energy relative to the elements   0.1715 eV/atom

abc: 10.450 10.450 10.448
angles: 90.00 90.00 149.43
Element x y z (fractional)
Pm1 0.011 0.989 0.500
Pm2 0.274 0.726 0.807
Pm3 0.302 0.698 0.200
Pm4 0.379 0.621 0.508
Pm5 0.484 0.516 0.230
Pm6 0.516 0.484 0.730
Pm7 0.621 0.379 0.008
Pm8 0.698 0.302 0.700
Pm9 0.726 0.274 0.307
Pm10 0.989 0.011 0.000
Er1 0.406 0.594 0.944
Er2 0.594 0.406 0.444
Tm1 0.193 0.807 0.503
Tm2 0.807 0.193 0.003
Sc1 0.111 0.889 0.786
Sc2 0.114 0.886 0.232
Sc3 0.886 0.114 0.732
Sc4 0.889 0.111 0.286

(3)
A relaxed La2AgPd3 crystal. Source: Alexandria, functional GGA-PBE.

SG   No. 69
E_tot   -5.356 eV/atom
Offset from the most stable computed form   59 meV/atom
Density   8319 kg/m3
Energy relative to the elements   -0.6420 eV/atom

abc: 9.075 8.561 6.145
angles: 74.17 65.18 40.65
Element x y z (fractional)
La1 0.245 0.755 0.755
La2 0.250 0.250 0.250
La3 0.750 0.750 0.750
La4 0.755 0.245 0.245
Ag1 0.330 0.330 0.670
Ag2 0.670 0.670 0.330
Pd1 0.156 0.156 0.844
Pd2 0.167 0.658 0.342
Pd3 0.342 0.833 0.167
Pd4 0.658 0.167 0.833
Pd5 0.833 0.342 0.658
Pd6 0.844 0.844 0.156